LaSF: relaxed, GGA-PBE.

Summary:
The calculation puts the formation energy (no corrections) at -3021 meV per atom. As for the density of states at the Fermi level: 0.00 states/eV per cell. For the magnetic moment, the calculation gives 0.00 μB/atom.

Structure (POSCAR):
```
LaSF
1.0
6.9870 0.0000 0.0000
0.0000 4.2392 0.0000
0.0000 0.0000 9.2569
La S F
4 4 4
direct
0.2325 0.2500 0.0640
0.2675 0.7500 0.5640
0.7325 0.2500 0.4360
0.7675 0.7500 0.9360
0.1318 0.2500 0.3695
0.3682 0.7500 0.8695
0.6318 0.2500 0.1305
0.8682 0.7500 0.6305
0.0483 0.7500 0.0947
0.4517 0.2500 0.5947
0.5483 0.7500 0.4053
0.9517 0.2500 0.9053
```

=====

ScPa2ZnN5: relaxed, GGA-PBE.

Summary:
The calculation puts the formation energy (no corrections) at -1230 meV per atom. For the magnetic moment, the calculation gives 0.00 μB/atom.

Structure (POSCAR):
```
ScPa2ZnN5
1.0
1.7020 -6.6774 0.0000
1.7020 6.6774 0.0000
0.0000 0.0000 10.2397
Sc Pa Zn N
2 4 2 10
direct
0.2023 0.7977 0.5000
0.7977 0.2023 0.0000
0.1265 0.8735 0.1930
0.1266 0.8734 0.7815
0.8734 0.1266 0.2815
0.8735 0.1265 0.6930
0.4881 0.5119 0.9912
0.5119 0.4881 0.4912
0.0510 0.9490 0.5789
0.2925 0.7075 0.1631
0.3007 0.6993 0.8478
0.3580 0.6420 0.5466
0.4873 0.5127 0.2955
0.5127 0.4873 0.7955
0.6420 0.3580 0.0466
0.6993 0.3007 0.3478
0.7075 0.2925 0.6631
0.9490 0.0510 0.0789
```

=====

TmGaIr2: relaxed, GGA-PBE.

Summary:
As for the formation energy: -679 meV/atom. As for the density of states at the Fermi level: 0.44 states/eV per cell. For the magnetic moment, the calculation gives 0.00 μB/atom.

Structure (POSCAR):
```
TmGaIr2
1.0
4.3058 0.0000 0.0000
0.0000 4.3058 0.0000
0.0000 0.0000 3.5857
Tm Ga Ir
1 1 2
direct
0.0000 0.0000 0.0000
0.5000 0.5000 0.0000
0.0000 0.5000 0.5000
0.5000 0.0000 0.5000
```

=====

Sc2TeOs: relaxed, GGA-PBE.

Summary:
The calculation puts the formation energy (no corrections) at -405 meV per atom. As for the density of states at the Fermi level: 6.11 states/eV per cell. For the magnetic moment, the calculation gives 0.00 μB/atom.

Structure (POSCAR):
```
Sc2TeOs
1.0
6.2358 0.0000 0.0000
0.0000 7.2259 0.0000
0.0000 0.0000 3.4666
Sc Te Os
4 2 2
direct
0.2500 0.2500 0.0000
0.2500 0.7500 0.0000
0.7500 0.2500 0.0000
0.7500 0.7500 0.0000
0.0000 0.0000 0.5000
0.5000 0.5000 0.5000
0.0000 0.5000 0.5000
0.5000 0.0000 0.5000
```

=====

MgInHg3: relaxed, GGA-PBE.

Summary:
As for the formation energy: 157 meV/atom. As for the density of states at the Fermi level: 3.12 states/eV per cell. The value obtained for the energy above the most stable polymorph in this dataset is 221.1 meV per atom. For the magnetic moment, the calculation gives 0.00 μB/atom.

Structure (POSCAR):
```
MgInHg3
1.0
5.4074 0.0000 0.0000
0.0000 5.4074 0.0000
0.0000 0.0000 5.4074
Mg In Hg
1 1 3
direct
0.0000 0.0000 0.0000
0.5000 0.5000 0.5000
0.0000 0.0000 0.5000
0.0000 0.5000 0.0000
0.5000 0.0000 0.0000
```

=====

LiEr3Rh8: relaxed, GGA-PBE.

Summary:
As for the formation energy: -624 meV/atom. As for the density of states at the Fermi level: 6.95 states/eV per cell. For the magnetic moment, the calculation gives 0.00 μB/atom.

Structure (POSCAR):
```
LiEr3Rh8
1.0
2.6310 1.5190 8.6393
-2.6310 1.5190 8.6393
0.0000 -3.0381 8.6393
Li Er Rh
1 3 8
direct
0.0000 0.0000 0.0000
0.1211 0.1211 0.1211
0.5042 0.5042 0.5042
0.6336 0.6336 0.6336
0.0659 0.0659 0.5659
0.0659 0.5659 0.0659
0.0674 0.5649 0.5649
0.3159 0.3159 0.3159
0.5649 0.0674 0.5649
0.5649 0.5649 0.0674
0.5659 0.0659 0.0659
0.8158 0.8158 0.8158
```

=====

Number 1: E_tot -6.663 eV per atom. Number 2: E_tot -8.811 eV per atom. Number 3: E_tot -6.984 eV per atom. Number 4: E_tot -7.163 eV per atom. Number 5: E_tot -0.891 eV per atom. Number 6: E_tot -6.825 eV per atom.